No. 1
LaNdCr2O8 after structural relaxation, computed with PBE+U.

```
LaNdCr2O8
1.0
-1.902 3.419 -4.817
-0.182 -6.165 -0.688
-3.892 1.306 4.654
La Nd Cr O
1 1 2 8
Direct
0.250 0.750 0.500
0.000 0.000 0.000
0.750 0.250 0.500
0.500 0.500 0.000
0.404 0.085 0.319
0.331 0.510 0.178
0.331 0.153 0.822
0.766 0.085 0.681
0.847 0.669 0.178
0.915 0.234 0.319
0.915 0.596 0.681
0.490 0.669 0.822
```

As for the electronic total energy: -7.675 eV/atom. The value obtained for the magnetic moment is 2.0 μB/cell.

No. 2
La3NdCr4O12 after structural relaxation, computed with PBE+U.

```
La3NdCr4O12
1.0
-3.071 3.965 2.364
-4.672 -2.609 -1.703
-0.148 -4.112 6.707
La Nd Cr O
3 1 4 12
Direct
0.991 0.960 0.000
0.492 0.538 0.500
0.009 0.040 0.500
0.512 0.453 0.000
0.000 0.500 0.751
0.500 0.999 0.249
0.000 0.500 0.249
0.500 0.999 0.751
0.209 0.791 0.707
0.290 0.290 0.292
0.787 0.213 0.204
0.708 0.709 0.797
0.787 0.213 0.796
0.708 0.709 0.203
0.209 0.791 0.293
0.290 0.290 0.708
0.419 0.025 0.000
0.089 0.520 0.000
0.582 0.980 0.500
0.919 0.481 0.500
```

As for the electronic total energy: -8.222 eV/atom. The value obtained for the magnetic moment is 12.0 μB/cell.